Compound: SiTcRh4
Source: the Alexandria database
Functional: GGA-PBE
Structure: relaxed

Summary:
uncorrected formation energy = 457 meV per atom
final energy = -7.075 eV per atom
D(E_F) = 35.66 states/eV per cell
theoretical density = 9.7 g/cm³

abc: 7.162 7.162 7.162
angles: 90.00 90.00 90.00
Space group F-43m (No. 216)
Asymmetric unit:
Si  0.000  0.000  0.000 [4 per cell]
Tc  0.250  0.250  0.750 [4 per cell]
Rh  0.125  0.125  0.375 [16 per cell]